First-principles (PBE with a Hubbard U) data for an optimized crystal structure of Rb2VNiF6, as listed in Alexandria via LeMat-Bulk.

Cell: 4.211 4.211 8.361 Å, 90.00 90.00 90.00°
Sites, in units of the cell vectors:
Rb: 0.000 0.000 0.246
Rb: 0.000 0.000 0.754
V: 0.500 0.500 0.500
Ni: 0.500 0.500 0.000
F: 0.000 0.500 0.000
F: 0.000 0.500 0.500
F: 0.500 0.000 0.000
F: 0.500 0.000 0.500
F: 0.500 0.500 0.242
F: 0.500 0.500 0.758

Results
**Magnetization**: 5.0 Bohr magnetons per cell
**Electronic total energy**: -4.917 eV per atom
**E above lowest polymorph**: 0.6 kJ per mole of atoms
**Density**: 4419 kg/m³